First-principles (GGA-PBE) data for a relaxed CaLuCuGe crystal, as listed in Alexandria via LeMat-Bulk.

Unit cell a=4.956 b=4.956 c=4.956 alpha=60.00 beta=60.00 gamma=60.00
Fractional coordinates of all 4 atoms:
Ge  0.250  0.250  0.250
Lu  0.000  0.000  0.000
Ca  0.500  0.500  0.500
Cu  0.750  0.750  0.750

**ρ**: 6.8 g/cm³
**Calculated total energy**: -16.978 eV per formula unit
**Formation enthalpy at 0 K**: -435 meV per atom
**V**: 21.525 A^3/atom

***

First-principles (GGA-PBE) data for a relaxed Ba3Sr8Ca2Ac crystal, as listed in Alexandria via LeMat-Bulk.

Unit cell a=7.743 b=7.743 c=15.468 alpha=90.00 beta=90.00 gamma=120.00
Fractional coordinates of all 14 atoms:
Ba  0.333  0.667  0.547
Ba  0.667  0.333  0.453
Ba  0.000  0.000  0.000
Sr  0.333  0.667  0.834
Sr  0.667  0.333  0.166
Sr  0.166  0.834  0.287
Sr  0.834  0.166  0.713
Sr  0.166  0.332  0.287
Sr  0.834  0.668  0.713
Sr  0.668  0.834  0.287
Sr  0.332  0.166  0.713
Ca  0.333  0.667  0.077
Ca  0.667  0.333  0.923
Ac  0.000  0.000  0.500

**ρ**: 2.9 g/cm³
**Calculated total energy**: -25.488 eV per formula unit
**Formation enthalpy at 0 K**: 132 meV per atom
**V**: 57.362 A^3/atom

***

First-principles (GGA-PBE) data for a relaxed Ge2TeBr2 crystal, as listed in Alexandria via LeMat-Bulk.

Unit cell a=5.725 b=7.243 c=9.149 alpha=108.83 beta=90.00 gamma=113.28
Fractional coordinates of all 10 atoms:
Ge  0.180  0.361  0.612
Ge  0.820  0.639  0.388
Ge  0.502  0.003  0.209
Ge  0.498  0.997  0.791
Te  0.337  0.674  0.903
Te  0.663  0.326  0.097
Br  0.664  0.327  0.551
Br  0.336  0.673  0.449
Br  0.019  0.037  0.734
Br  0.981  0.963  0.266

**ρ**: 4.4 g/cm³
**Energy relative to the lowest polymorph listed for this composition**: 0.000 eV per atom
**Energy relative to the elements, uncorrected**: -0.245 eV/atom
**Calculated total energy**: -16.949 eV per formula unit
**V**: 32.628 A^3/atom

***

First-principles (GGA-PBE) data for a relaxed RbHgGe3 crystal, as listed in Alexandria via LeMat-Bulk.

Unit cell a=5.457 b=5.457 c=5.457 alpha=90.00 beta=90.00 gamma=90.00
Fractional coordinates of all 5 atoms:
Ge  0.000  0.500  0.000
Ge  0.000  0.000  0.500
Ge  0.500  0.000  0.000
Hg  0.000  0.000  0.000
Rb  0.500  0.500  0.500

**ρ**: 5.1 g/cm³
**Energy relative to the lowest polymorph listed for this composition**: 0.000 eV per atom
**Calculated total energy**: -12.215 eV per formula unit
**Formation enthalpy at 0 K**: 581 meV per atom
**V**: 32.504 A^3/atom

***

First-principles (GGA-PBE) data for a relaxed LiCd6Ga crystal, as listed in Alexandria via LeMat-Bulk.

Unit cell a=7.590 b=7.534 c=5.929 alpha=45.48 beta=47.02 gamma=61.18
Fractional coordinates of all 8 atoms:
Li  0.500  0.500  0.500
Cd  0.966  0.505  0.781
Cd  0.756  0.970  0.809
Cd  0.518  0.242  0.172
Cd  0.244  0.030  0.191
Cd  0.034  0.495  0.219
Cd  0.482  0.758  0.828
Ga  0.000  0.000  0.000

**ρ**: 7.1 g/cm³
**Energy relative to the lowest polymorph listed for this composition**: 0.022 eV per atom
**Calculated total energy**: -10.635 eV per formula unit
**Formation enthalpy at 0 K**: -25 meV per atom
**V**: 22.107 A^3/atom

***

First-principles (GGA-PBE) data for a relaxed Ho8GaIr2 crystal, as listed in Alexandria via LeMat-Bulk.

Unit cell a=5.464 b=7.792 c=7.792 alpha=113.01 beta=97.84 gamma=97.84
Fractional coordinates of all 11 atoms:
Ir  0.499  0.693  0.313
Ir  0.499  0.313  0.693
Ho  0.584  0.333  0.074
Ho  0.584  0.074  0.333
Ho  0.195  0.382  0.382
Ho  0.999  0.242  0.763
Ho  0.999  0.763  0.242
Ho  0.804  0.626  0.626
Ho  0.410  0.933  0.673
Ho  0.410  0.673  0.933
Ga  0.018  0.003  0.003

**ρ**: 10.0 g/cm³
**Calculated total energy**: -62.089 eV per formula unit
**Formation enthalpy at 0 K**: -429 meV per atom
**V**: 26.896 A^3/atom

***

First-principles (GGA-PBE) data for a relaxed LiTa2Re crystal, as listed in Alexandria via LeMat-Bulk.

Unit cell a=2.650 b=4.497 c=5.548 alpha=90.00 beta=90.00 gamma=90.00
Fractional coordinates of all 4 atoms:
Li  0.000  0.000  0.498
Re  0.500  0.500  0.755
Ta  0.000  0.000  0.985
Ta  0.500  0.500  0.262

**ρ**: 13.9 g/cm³
**Calculated total energy**: -36.987 eV per formula unit
**Formation enthalpy at 0 K**: 270 meV per atom
**V**: 16.528 A^3/atom

***

First-principles (GGA-PBE) data for a relaxed ReHg2F6 crystal, as listed in Alexandria via LeMat-Bulk.

Unit cell a=7.610 b=5.161 c=5.161 alpha=120.00 beta=90.00 gamma=90.00
Fractional coordinates of all 9 atoms:
Re  0.000  0.000  0.000
Hg  0.500  0.667  0.333
Hg  0.500  0.333  0.667
F  0.147  0.000  0.297
F  0.147  0.703  0.703
F  0.853  0.000  0.703
F  0.853  0.703  0.000
F  0.853  0.297  0.297
F  0.147  0.297  0.000

**ρ**: 6.6 g/cm³
**Energy relative to the elements, uncorrected**: -1.711 eV/atom
**Calculated total energy**: -39.677 eV per formula unit
**V**: 19.505 A^3/atom

***

First-principles (GGA-PBE) data for a relaxed LiTbGa crystal, as listed in Alexandria via LeMat-Bulk.

Unit cell a=4.407 b=7.143 c=7.143 alpha=120.00 beta=90.00 gamma=90.00
Fractional coordinates of all 9 atoms:
Li  0.000  0.765  0.765
Li  0.000  0.000  0.235
Li  0.000  0.235  0.000
Tb  0.500  0.424  0.424
Tb  0.500  0.000  0.576
Tb  0.500  0.576  0.000
Ga  0.000  0.333  0.667
Ga  0.000  0.667  0.333
Ga  0.500  0.000  0.000

**ρ**: 6.0 g/cm³
**Energy relative to the lowest polymorph listed for this composition**: 0.000 eV per atom
**Calculated total energy**: -10.779 eV per formula unit
**Formation enthalpy at 0 K**: -403 meV per atom
**V**: 21.634 A^3/atom

***

First-principles (GGA-PBE) data for a relaxed Pr7Mg2Ru2 crystal, as listed in Alexandria via LeMat-Bulk.

Unit cell a=7.093 b=7.500 c=7.093 alpha=90.00 beta=109.09 gamma=90.00
Fractional coordinates of all 11 atoms:
Pr  0.000  0.248  0.500
Pr  0.500  0.752  0.000
Pr  0.000  0.752  0.500
Pr  0.500  0.248  0.000
Pr  0.000  0.000  0.000
Pr  0.500  0.764  0.500
Pr  0.500  0.236  0.500
Mg  0.829  0.500  0.829
Mg  0.171  0.500  0.171
Ru  0.704  0.000  0.296
Ru  0.296  0.000  0.704

**ρ**: 5.8 g/cm³
**Calculated total energy**: -55.397 eV per formula unit
**Formation enthalpy at 0 K**: -18 meV per atom
**V**: 32.413 A^3/atom

***

First-principles (GGA-PBE) data for a relaxed Ti2Cr2Co crystal, as listed in Alexandria via LeMat-Bulk.

Unit cell a=5.947 b=5.947 c=3.946 alpha=90.00 beta=90.00 gamma=90.00
Fractional coordinates of all 10 atoms:
Cr  0.371  0.871  0.000
Cr  0.871  0.629  0.000
Cr  0.629  0.129  0.000
Cr  0.129  0.371  0.000
Co  0.000  0.000  0.000
Co  0.500  0.500  0.000
Ti  0.177  0.677  0.500
Ti  0.677  0.823  0.500
Ti  0.823  0.323  0.500
Ti  0.323  0.177  0.500

**ρ**: 6.2 g/cm³
**Calculated total energy**: -41.375 eV per formula unit
**Formation enthalpy at 0 K**: 153 meV per atom
**V**: 13.954 A^3/atom

***

First-principles (GGA-PBE) data for a relaxed LaDyCdPt crystal, as listed in Alexandria via LeMat-Bulk.

Unit cell a=5.230 b=5.230 c=5.230 alpha=60.00 beta=60.00 gamma=60.00
Fractional coordinates of all 4 atoms:
Cd  0.250  0.250  0.250
La  0.500  0.500  0.500
Pt  0.750  0.750  0.750
Dy  0.000  0.000  0.000

**ρ**: 10.0 g/cm³
**Calculated total energy**: -19.112 eV per formula unit
**Formation enthalpy at 0 K**: -657 meV per atom
**V**: 25.295 A^3/atom